# TiGaTcOs

An optimized crystal structure of TiGaTcOs (GGA-PBE, Alexandria via LeMat-Bulk).

Results
Density of states at the Fermi level, states/eV/cell: 3.78
E_form, eV per atom: -0.329
Relative energy among the computed polymorphs, eV/f.u.: 0.000

Cell lengths 3.150, 4.271, 4.318 Å; angles 90.00, 90.00, 90.00 degrees
Space group Pmmm (No. 47)
Asymmetric unit:
Ti1 0.000 0.000 0.000 x1
Ga1 0.000 0.500 0.500 x1
Tc1 0.500 0.500 0.000 x1
Os1 0.500 0.000 0.500 x1